{"formula": "LiCoH2I", "functional": "PBE-GGA", "state": "relaxed", "final_energy_ry_per_atom": -0.205, "lattice": [[3.749, 0.000, 0.000], [0.000, 3.749, 0.000], [0.000, 0.000, 5.909]], "species": ["Li", "Co", "H", "H", "I"], "fractional_positions": [[0.000, 0.000, 0.000], [0.500, 0.500, 0.500], [0.000, 0.500, 0.000], [0.500, 0.000, 0.000], [0.000, 0.000, 0.500]]}



{"formula": "Nd4CoHI2", "functional": "PBE-GGA", "state": "relaxed", "final_energy_ry_per_atom": -0.342, "lattice": [[6.848, 0.000, 0.000], [0.000, 4.044, 0.000], [-2.267, 0.000, 7.999]], "species": ["Nd", "Nd", "Nd", "Nd", "Co", "H", "I", "I"], "fractional_positions": [[0.233, 0.000, 0.180], [0.267, 0.500, 0.816], [0.733, 0.500, 0.184], [0.767, 0.000, 0.820], [0.000, 0.500, 0.000], [0.500, 0.000, 0.000], [0.000, 0.000, 0.500], [0.500, 0.500, 0.500]]}